Below is an optimized crystal structure of KAlSi, with properties calculated at the PBE level. Values from VASP.

The structure in Quantum ESPRESSO input format:
```
&SYSTEM
  ibrav = 0, nat = 12, ntyp = 3
/
ATOMIC_SPECIES
K 39.10 K.upf
Si 28.09 Si.upf
Al 26.98 Al.upf
CELL_PARAMETERS angstrom
-7.271 2.886 2.222
-2.029 -3.012 -2.727
-0.236 -4.878 5.563
ATOMIC_POSITIONS crystal
K 0.499 0.250 0.346
K 0.001 0.750 0.846
K 0.501 0.750 0.654
K 0.999 0.250 0.154
Si 0.672 0.250 0.895
Si 0.828 0.750 0.395
Si 0.328 0.750 0.105
Si 0.172 0.250 0.605
Al 0.349 0.250 0.916
Al 0.151 0.750 0.416
Al 0.651 0.750 0.084
Al 0.849 0.250 0.584
```

Its density of states at the Fermi level is 0.0 states/eV/cell. The value obtained for the mass density is 2.29 g cm⁻³. The symmetry is Pnma (62). The calculated volume is 273.4 Å³ per cell. Its magnetic moment is 0.0 μB per cell. The raw formation energy comes out at 1 kJ/mol of atoms.


Below is an optimized crystal structure of KAl4Si2, with properties calculated at the PBE level. Values from VASP.

The structure in Quantum ESPRESSO input format:
```
&SYSTEM
  ibrav = 0, nat = 7, ntyp = 3
/
ATOMIC_SPECIES
K 39.10 K.upf
Al 26.98 Al.upf
Si 28.09 Si.upf
CELL_PARAMETERS angstrom
4.263 0.000 0.000
0.000 4.253 0.000
0.000 -2.126 7.510
ATOMIC_POSITIONS crystal
K 0.000 0.000 0.000
Al 0.500 0.815 0.631
Al 0.000 0.691 0.381
Al 0.500 0.185 0.369
Al 0.000 0.309 0.619
Si 0.500 0.586 0.171
Si 0.500 0.414 0.829
```

Its density of states at the Fermi level is 1.4 states/eV/cell. The value obtained for the mass density is 2.48 g cm⁻³. The symmetry is Cmmm (65). The calculated volume is 136.1 Å³ per cell. Its magnetic moment is 0.0 μB per cell. The raw formation energy comes out at 5 kJ/mol of atoms.


Below is an optimized crystal structure of KAlSi, with properties calculated at the PBE level. Values from VASP.

The structure in Quantum ESPRESSO input format:
```
&SYSTEM
  ibrav = 0, nat = 12, ntyp = 3
/
ATOMIC_SPECIES
K 39.10 K.upf
Si 28.09 Si.upf
Al 26.98 Al.upf
CELL_PARAMETERS angstrom
12.435 0.000 0.023
0.000 7.785 0.000
-5.424 0.000 2.893
ATOMIC_POSITIONS crystal
K 0.096 0.290 0.294
K 0.904 0.710 0.706
K 0.404 0.790 0.206
K 0.596 0.210 0.794
Si 0.327 0.921 0.600
Si 0.673 0.079 0.400
Si 0.173 0.421 0.900
Si 0.827 0.579 0.100
Al 0.453 0.589 0.716
Al 0.547 0.411 0.284
Al 0.047 0.089 0.784
Al 0.953 0.911 0.216
```

Its density of states at the Fermi level is 0.0 states/eV/cell. The value obtained for the mass density is 2.22 g cm⁻³. The symmetry is P2_1/c (14). The calculated volume is 281.1 Å³ per cell. Its magnetic moment is 0.0 μB per cell. The raw formation energy comes out at 19 kJ/mol of atoms.


Below is an optimized crystal structure of K2AlSi, with properties calculated at the PBE level. Values from VASP.

The structure in Quantum ESPRESSO input format:
```
&SYSTEM
  ibrav = 0, nat = 4, ntyp = 3
/
ATOMIC_SPECIES
K 39.10 K.upf
Si 28.09 Si.upf
Al 26.98 Al.upf
CELL_PARAMETERS angstrom
-2.976 5.168 2.356
-4.823 1.839 -3.803
2.045 -5.005 3.445
ATOMIC_POSITIONS crystal
K 0.030 0.030 0.000
K 0.712 0.212 0.500
Si 0.435 0.435 0.000
Al 0.323 0.823 0.500
```

Its density of states at the Fermi level is 2.0 states/eV/cell. The value obtained for the mass density is 1.68 g cm⁻³. The symmetry is Imm2 (44). The calculated volume is 131.5 Å³ per cell. For the energy above the lowest structure with this stoichiometry, the calculation gives 0.123 eV per atom. Its magnetic moment is 0.0 μB per cell. The raw formation energy comes out at 11 kJ/mol of atoms.


Below is an optimized crystal structure of KAlSi, with properties calculated at the PBE level. Values from VASP.

The structure in Quantum ESPRESSO input format:
```
&SYSTEM
  ibrav = 0, nat = 12, ntyp = 3
/
ATOMIC_SPECIES
K 39.10 K.upf
Si 28.09 Si.upf
Al 26.98 Al.upf
CELL_PARAMETERS angstrom
-0.398 8.131 8.543
-5.606 -0.971 0.663
1.388 -4.830 4.661
ATOMIC_POSITIONS crystal
K 0.156 0.250 0.990
K 0.344 0.750 0.490
K 0.844 0.750 0.010
K 0.656 0.250 0.510
Si 0.912 0.250 0.274
Si 0.588 0.750 0.774
Si 0.088 0.750 0.726
Si 0.412 0.250 0.226
Al 0.000 0.000 0.500
Al 0.500 0.500 0.000
Al 0.500 0.000 0.000
Al 0.000 0.500 0.500
```

Its density of states at the Fermi level is 3.4 states/eV/cell. The value obtained for the mass density is 1.35 g cm⁻³. The symmetry is Pnma (62). The calculated volume is 463.3 Å³ per cell. Its magnetic moment is 0.0 μB per cell. The raw formation energy comes out at 23 kJ/mol of atoms.


Below is an optimized crystal structure of KAlSi, with properties calculated at the PBE level. Values from VASP.

The structure in Quantum ESPRESSO input format:
```
&SYSTEM
  ibrav = 0, nat = 6, ntyp = 3
/
ATOMIC_SPECIES
K 39.10 K.upf
Si 28.09 Si.upf
Al 26.98 Al.upf
CELL_PARAMETERS angstrom
18.976 0.000 -0.084
5.229 2.123 -1.987
-5.229 2.123 1.987
ATOMIC_POSITIONS crystal
K 0.858 0.359 0.641
K 0.142 0.641 0.359
Si 0.558 0.509 0.491
Si 0.442 0.491 0.509
Al 0.338 0.047 0.953
Al 0.662 0.953 0.047
```

Its density of states at the Fermi level is 2.3 states/eV/cell. The value obtained for the mass density is 1.98 g cm⁻³. The symmetry is C2/m (12). The calculated volume is 158.3 Å³ per cell. Its magnetic moment is 0.0 μB per cell. The raw formation energy comes out at 3 kJ/mol of atoms.


Below is an optimized crystal structure of KAl2Si, with properties calculated at the PBE level. Values from VASP.

The structure in Quantum ESPRESSO input format:
```
&SYSTEM
  ibrav = 0, nat = 4, ntyp = 3
/
ATOMIC_SPECIES
K 39.10 K.upf
Si 28.09 Si.upf
Al 26.98 Al.upf
CELL_PARAMETERS angstrom
9.881 -0.024 -0.014
9.359 3.167 -0.014
9.359 1.529 2.774
ATOMIC_POSITIONS crystal
K 0.495 0.495 0.495
Si 0.734 0.734 0.734
Al 0.006 0.006 0.006
Al 0.265 0.265 0.265
```

Its density of states at the Fermi level is 2.3 states/eV/cell. The value obtained for the mass density is 2.29 g cm⁻³. The symmetry is R3m (160). The calculated volume is 87.9 Å³ per cell. Its magnetic moment is 0.0 μB per cell. The raw formation energy comes out at 34 kJ/mol of atoms.


Below is an optimized crystal structure of KAl2Si, with properties calculated at the PBE level. Values from VASP.

The structure in Quantum ESPRESSO input format:
```
&SYSTEM
  ibrav = 0, nat = 4, ntyp = 3
/
ATOMIC_SPECIES
K 39.10 K.upf
Si 28.09 Si.upf
Al 26.98 Al.upf
CELL_PARAMETERS angstrom
4.436 -0.040 0.018
3.401 2.848 0.018
0.699 0.250 7.584
ATOMIC_POSITIONS crystal
K 0.250 0.250 0.250
Si 0.750 0.750 0.750
Al 0.015 0.015 0.910
Al 0.485 0.485 0.590
```

Its density of states at the Fermi level is 1.9 states/eV/cell. The value obtained for the mass density is 2.08 g cm⁻³. The symmetry is C2/m (12). The calculated volume is 96.8 Å³ per cell. Its magnetic moment is 0.0 μB per cell. The raw formation energy comes out at 24 kJ/mol of atoms.


Below is an optimized crystal structure of KAlSi, with properties calculated at the PBE level. Values from VASP.

The structure in Quantum ESPRESSO input format:
```
&SYSTEM
  ibrav = 0, nat = 6, ntyp = 3
/
ATOMIC_SPECIES
K 39.10 K.upf
Si 28.09 Si.upf
Al 26.98 Al.upf
CELL_PARAMETERS angstrom
-5.106 4.292 11.932
-8.115 1.153 10.939
1.828 -2.257 1.594
ATOMIC_POSITIONS crystal
K 0.578 0.578 0.000
K 0.422 0.422 0.000
Si 0.682 0.682 0.500
Si 0.318 0.318 0.500
Al 0.779 0.779 0.500
Al 0.221 0.221 0.500
```

Its density of states at the Fermi level is 2.1 states/eV/cell. The value obtained for the mass density is 1.57 g cm⁻³. The symmetry is Cmmm (65). The calculated volume is 199.3 Å³ per cell. Its magnetic moment is 0.0 μB per cell. The raw formation energy comes out at 34 kJ/mol of atoms.


Below is an optimized crystal structure of KAlSi2Tc, with properties calculated at the PBE level. Values from VASP.

The structure in Quantum ESPRESSO input format:
```
&SYSTEM
  ibrav = 0, nat = 5, ntyp = 4
/
ATOMIC_SPECIES
K 39.10 K.upf
Si 28.09 Si.upf
Tc 98.00 Tc.upf
Al 26.98 Al.upf
CELL_PARAMETERS angstrom
4.723 0.000 0.000
0.000 4.723 0.000
0.000 0.000 4.840
ATOMIC_POSITIONS crystal
K 0.500 0.500 0.500
Si 0.000 0.500 0.000
Si 0.500 0.000 0.000
Tc 0.000 0.000 0.000
Al 0.000 0.000 0.500
```

Its density of states at the Fermi level is 1.8 states/eV/cell. The value obtained for the mass density is 3.39 g cm⁻³. The symmetry is P4/mmm (123). The calculated volume is 108.0 Å³ per cell. Its magnetic moment is 0.0 μB per cell. The raw formation energy comes out at 4 kJ/mol of atoms.


Below is an optimized crystal structure of K2AlSiTe4, with properties calculated at the PBE level. Values from VASP.

The structure in Quantum ESPRESSO input format:
```
&SYSTEM
  ibrav = 0, nat = 16, ntyp = 4
/
ATOMIC_SPECIES
K 39.10 K.upf
Al 26.98 Al.upf
Si 28.09 Si.upf
Te 127.60 Te.upf
CELL_PARAMETERS angstrom
-2.927 -6.241 -1.978
3.427 1.267 -9.067
7.775 -4.383 2.326
ATOMIC_POSITIONS crystal
K 0.449 0.347 0.256
K 0.449 0.347 0.744
K 0.949 0.653 0.756
K 0.949 0.653 0.244
Al 0.004 0.137 0.500
Al 0.504 0.863 0.000
Si 0.499 0.846 0.500
Si 0.999 0.154 0.000
Te 0.355 0.109 0.000
Te 0.855 0.891 0.500
Te 0.368 0.090 0.500
Te 0.868 0.910 0.000
Te 0.438 0.713 0.763
Te 0.938 0.287 0.263
Te 0.938 0.287 0.737
Te 0.438 0.713 0.237
```

Its density of states at the Fermi level is 5.6 states/eV/cell. The value obtained for the mass density is 3.31 g cm⁻³. The symmetry is Pmn2_1 (31). The calculated volume is 646.6 Å³ per cell. Its magnetic moment is 0.0 μB per cell. The raw formation energy comes out at -47 kJ/mol of atoms.


Below is an optimized crystal structure of KTi2AlSi, with properties calculated at the PBE level. Values from VASP.

The structure in Quantum ESPRESSO input format:
```
&SYSTEM
  ibrav = 0, nat = 5, ntyp = 4
/
ATOMIC_SPECIES
K 39.10 K.upf
Al 26.98 Al.upf
Si 28.09 Si.upf
Ti 47.87 Ti.upf
CELL_PARAMETERS angstrom
4.981 0.000 0.000
0.000 4.806 0.000
0.000 0.000 4.981
ATOMIC_POSITIONS crystal
K 0.500 0.500 0.500
Al 0.000 0.000 0.000
Si 0.000 0.500 0.000
Ti 0.000 0.000 0.500
Ti 0.500 0.000 0.000
```

Its density of states at the Fermi level is 8.2 states/eV/cell. The value obtained for the mass density is 2.64 g cm⁻³. The symmetry is P4/mmm (123). The calculated volume is 119.2 Å³ per cell. Its magnetic moment is 0.0 μB per cell. The raw formation energy comes out at 91 kJ/mol of atoms.


- Which formula does entry 7 have?
  KAl2Si


- raw formation energy of number 11 (K2AlSiTe4)?
  -47 kJ/mol of atoms